12
Lattice="-2.753 1.797 2.848 2.462 -1.973 3.624 5.941 8.321 0.493" Properties=species:S:1:pos:R:3 comment="HoMnCo, relaxed, DFT PBE" e_tot_ev_per_atom=-6.952 relative_energy_mev_per_atom=104 dos_ef_per_ev_cell=11.24 delta_e_f_ev_per_atom=-0.0009 pbc="T T T"
Ho 3.751 6.030 1.482
Ho 1.433 1.346 2.196
Ho 1.900 2.116 5.483
Ho 4.217 6.799 4.769
Mn 3.886 3.345 3.307
Mn 1.420 -1.219 3.802
Mn 1.764 4.801 3.659
Mn 4.231 9.365 3.163
Co 5.772 7.591 2.451
Co 2.301 3.832 1.467
Co -0.122 0.555 4.514
Co 3.350 4.313 5.499



4
Lattice="-0.468 0.127 -3.982 3.206 -0.195 -2.403 0.549 -4.683 -2.235" Properties=species:S:1:pos:R:3 comment="HoMnCo2, relaxed, DFT PBE" e_tot_ev_per_atom=-7.030 relative_energy_mev_per_atom=0 dos_ef_per_ev_cell=4.21 delta_e_f_ev_per_atom=-0.0403 pbc="T T T"
Mn 1.644 -2.375 -4.310
Co 2.524 -2.811 -6.448
Co 0.763 -1.940 -2.172
Ho 0.000 0.000 0.000



3
Lattice="-3.184 0.408 -2.581 2.026 -1.750 -2.776 -2.201 -2.082 2.386" Properties=species:S:1:pos:R:3 comment="HoMnCo, relaxed, DFT PBE" e_tot_ev_per_atom=-6.953 relative_energy_mev_per_atom=103 dos_ef_per_ev_cell=4.32 delta_e_f_ev_per_atom=-0.0016 pbc="T T T"
Mn -1.323 -1.904 0.235
Co -0.531 0.068 -0.430
Ho -1.506 -1.589 -2.776



4
Lattice="-0.282 -3.595 -2.485 2.748 -0.557 -3.365 3.128 -3.058 0.210" Properties=species:S:1:pos:R:3 comment="HoMnCo2, relaxed, DFT PBE" e_tot_ev_per_atom=-6.976 relative_energy_mev_per_atom=54 dos_ef_per_ev_cell=2.51 delta_e_f_ev_per_atom=0.0138 pbc="T T T"
Mn 2.797 -3.605 -2.820
Co 1.398 -1.803 -1.410
Co 4.195 -5.408 -4.230
Ho 0.000 0.000 0.000



16
Lattice="-4.324 -0.634 0.885 1.177 -2.527 3.944 -0.147 10.045 6.480" Properties=species:S:1:pos:R:3 comment="HoMnCo2, relaxed, DFT PBE" e_tot_ev_per_atom=-6.932 relative_energy_mev_per_atom=98 dos_ef_per_ev_cell=16.19 delta_e_f_ev_per_atom=0.0575 pbc="T T T"
Ho 0.193 6.317 5.468
Ho -1.293 -1.281 4.001
Ho 0.838 1.201 4.955
Ho -2.001 8.165 7.307
Mn -1.378 4.534 7.752
Mn -1.916 2.350 3.556
Mn 0.228 3.887 3.901
Mn 0.802 3.631 6.523
Co 0.000 0.000 0.000
Co -1.647 3.442 5.654
Co -0.305 6.410 8.634
Co -2.989 0.473 2.674
Co -2.501 6.089 9.083
Co -0.793 0.795 2.225
Co 0.589 -1.264 1.972
Co -2.236 4.705 3.682



6
Lattice="-2.546 3.458 0.164 -3.782 -2.686 -2.055 1.684 -1.685 5.366" Properties=species:S:1:pos:R:3 comment="Ho2MnCo3, relaxed, DFT PBE" e_tot_ev_per_atom=-6.367 dos_ef_per_ev_cell=8.41 delta_e_f_ev_per_atom=0.2405 pbc="T T T"
Ho -1.821 1.248 1.719
Ho -2.823 -2.161 1.757
Mn -1.891 -1.343 -1.028
Co -1.131 -0.993 3.379
Co 0.000 0.000 0.000
Co -3.512 0.080 0.096



4
Lattice="3.084 0.000 0.000 0.000 3.084 0.000 0.000 0.000 6.240" Properties=species:S:1:pos:R:3 comment="HoMnCo2, relaxed, DFT PBE" e_tot_ev_per_atom=-6.943 relative_energy_mev_per_atom=87 dos_ef_per_ev_cell=3.55 delta_e_f_ev_per_atom=0.0464 pbc="T T T"
Mn 1.542 1.542 0.000
Co 0.000 0.000 4.960
Co 0.000 0.000 1.280
Ho 1.542 1.542 3.120



12
Lattice="-2.657 -1.193 -2.760 -1.091 -3.768 2.679 -5.934 4.420 3.800" Properties=species:S:1:pos:R:3 comment="HoMnCo10, relaxed, DFT PBE" e_tot_ev_per_atom=-7.009 dos_ef_per_ev_cell=15.14 delta_e_f_ev_per_atom=0.0581 pbc="T T T"
Ho 0.000 0.000 0.000
Mn -3.513 0.326 3.240
Co -2.055 1.531 1.316
Co -5.307 1.663 4.389
Co -1.718 -1.010 2.091
Co -3.879 2.889 2.484
Co -4.295 1.613 0.520
Co -1.874 -2.481 -0.041
Co -3.107 -0.422 0.257
Co -6.574 -0.119 3.462
Co -3.650 -2.297 1.590
Co -6.031 1.756 2.129



4
Lattice="3.400 0.000 0.000 1.700 2.945 0.000 1.700 0.982 9.517" Properties=species:S:1:pos:R:3 comment="Ho2MnCo, relaxed, DFT PBE" e_tot_ev_per_atom=-5.845 relative_energy_mev_per_atom=495 dos_ef_per_ev_cell=3.40 delta_e_f_ev_per_atom=0.5127 pbc="T T T"
Mn 0.000 0.000 0.000
Co 3.400 1.963 4.759
Ho 1.700 0.982 6.517
Ho 5.101 2.945 3.000



4
Lattice="3.223 0.000 0.000 0.000 4.291 0.000 0.000 0.000 4.291" Properties=species:S:1:pos:R:3 comment="HoMnCo2, relaxed, DFT PBE" e_tot_ev_per_atom=-6.960 relative_energy_mev_per_atom=70 dos_ef_per_ev_cell=3.66 delta_e_f_ev_per_atom=0.0302 pbc="T T T"
Mn 1.611 2.146 2.146
Co 0.000 0.000 2.146
Co 0.000 2.146 0.000
Ho 1.611 0.000 0.000



4
Lattice="3.372 0.000 0.000 0.000 3.372 0.000 0.000 0.000 6.981" Properties=species:S:1:pos:R:3 comment="Ho2MnCo, relaxed, DFT PBE" e_tot_ev_per_atom=-6.340 relative_energy_mev_per_atom=0 dos_ef_per_ev_cell=4.03 delta_e_f_ev_per_atom=0.0181 pbc="T T T"
Mn 1.686 1.686 3.490
Co 1.686 1.686 0.000
Ho 0.000 0.000 5.348
Ho 0.000 0.000 1.633



19
Lattice="6.286 -0.138 0.555 0.496 6.268 0.555 -0.153 -0.138 6.309" Properties=species:S:1:pos:R:3 comment="Ho2Mn16Co, relaxed, DFT PBE" e_tot_ev_per_atom=-8.561 dos_ef_per_ev_cell=21.70 delta_e_f_ev_per_atom=0.0171 pbc="T T T"
Ho 4.304 3.890 4.816
Ho 2.333 2.109 2.611
Mn 5.034 6.126 2.677
Mn 6.306 1.468 5.302
Mn 1.920 4.391 6.860
Mn 6.602 4.391 2.677
Mn 4.562 1.468 6.860
Mn 2.096 6.126 5.302
Mn 2.628 5.397 2.941
Mn 5.634 2.071 2.941
Mn 2.292 2.071 5.928
Mn 4.011 0.595 4.489
Mn 0.996 3.931 4.489
Mn 4.349 3.931 1.493
Mn 0.254 3.136 0.284
Mn 3.146 -0.064 0.284
Mn -0.070 -0.064 3.158
Mn 0.661 0.598 0.740
Co 5.922 5.353 6.627



19
Lattice="-2.643 4.387 3.508 -0.998 -3.256 5.190 4.920 1.793 3.335" Properties=species:S:1:pos:R:3 comment="HoMn17Co, relaxed, DFT PBE" e_tot_ev_per_atom=-8.655 dos_ef_per_ev_cell=26.71 delta_e_f_ev_per_atom=0.1644 pbc="T T T"
Ho 0.841 1.924 7.918
Mn 2.517 2.459 3.387
Mn -1.995 2.024 3.972
Mn 0.744 -1.587 4.559
Mn -1.374 -0.861 4.607
Mn 2.978 0.318 3.859
Mn -0.337 3.438 3.453
Mn -0.071 -0.657 6.739
Mn 2.934 1.907 5.797
Mn -0.906 3.225 5.885
Mn 1.332 3.527 5.328
Mn -1.593 1.032 6.245
Mn 2.145 -0.250 6.160
Mn 1.758 4.505 9.306
Mn -1.181 1.997 10.227
Mn 2.576 0.708 10.141
Mn 1.161 2.655 10.928
Mn 0.109 0.249 1.023
Co 0.508 1.162 4.784